[1]
Here is K2TaMn2Se6 after structural relaxation from Alexandria via LeMat-Bulk. Energies are from PBE-GGA.

Results
- ρ: 4.73 g/cm3
- Raw total energy: -123.3 eV/cell
- Volume: 26.92 Å³/atom

a = 6.720 Å, b = 11.249 Å, c = 8.189 Å
α = 90.00°, β = 106.91°, γ = 90.00°
Space group C2/m (No. 12)
Asymmetric unit:
K1 0.000 0.167 0.000
Ta1 0.000 0.000 0.500
Mn1 0.000 0.330 0.500
Se1 0.223 0.164 0.688
Se2 0.229 0.500 0.679



[2]
Here is SrAlCu3 after structural relaxation from Alexandria via LeMat-Bulk. Energies are from PBE-GGA.

Results
- ρ: 5.40 g/cm3
- Raw total energy: -73.2 eV/cell
- Volume: 18.78 Å³/atom
- Energy of formation: -119 meV/atom

a = 9.009 Å, b = 4.279 Å, c = 9.742 Å
α = 90.00°, β = 90.00°, γ = 90.00°
Space group Pnma (No. 62)
Asymmetric unit:
Sr1 0.177 0.250 0.025
Al1 0.034 0.250 0.622
Cu1 0.118 0.250 0.360
Cu2 0.122 0.750 0.767
Cu3 0.217 0.750 0.248



[3]
Here is CaAc3LaPr after structural relaxation from Alexandria via LeMat-Bulk. Energies are from PBE-GGA.

Results
- ρ: 6.65 g/cm3
- Raw total energy: -95.6 eV/cell
- Volume: 41.65 Å³/atom
- Energy of formation: 23 meV/atom

a = 3.886 Å, b = 20.349 Å, c = 12.640 Å
α = 90.00°, β = 90.00°, γ = 90.00°
Space group Cmcm (No. 63)
Asymmetric unit:
Ca1 0.000 0.225 0.250
Ac1 0.000 0.104 0.750
Ac2 0.000 0.338 0.503
La1 0.000 0.445 0.750
Pr1 0.000 0.000 0.000



[4]
Here is Dy2Ho8Sc after structural relaxation from Alexandria via LeMat-Bulk. Energies are from PBE-GGA.

Results
- ρ: 8.38 g/cm3
- Raw total energy: -103.7 eV/cell
- Volume: 30.42 Å³/atom
- Energy of formation: 29 meV/atom

a = 17.876 Å, b = 4.949 Å, c = 7.842 Å
α = 90.00°, β = 105.30°, γ = 90.00°
Space group C2/m (No. 12)
Asymmetric unit:
Dy1 0.226 0.000 0.136
Ho1 0.045 0.000 0.229
Ho2 0.090 0.500 0.950
Ho3 0.135 0.000 0.679
Ho4 0.181 0.500 0.410
Sc1 0.000 0.500 0.500



- Among the records above, which one has the lowest ρ?
  K2TaMn2Se6



- Number 1 is which compound?
  K2TaMn2Se6